# 1
A relaxed InCo2PbN crystal. Source: Alexandria via LeMat-Bulk, functional PBE.

POSCAR file:
```
InCo2PbN
1.0
4.905 0.000 0.000
0.000 4.905 0.000
0.000 0.000 4.136
In Co Pb N
1 2 1 1
direct
0.000 0.000 0.000
0.000 0.500 0.000
0.500 0.000 0.000
0.500 0.500 0.500
0.000 0.000 0.500
```

Volume in Å³/atom: 19.90



# 2
A relaxed InCo2PdN crystal. Source: Alexandria via LeMat-Bulk, functional PBE.

POSCAR file:
```
InCo2PdN
1.0
3.820 0.000 0.000
0.000 3.820 0.000
0.000 0.000 4.367
In Co Pd N
1 2 1 1
direct
0.000 0.000 0.000
0.000 0.500 0.500
0.500 0.000 0.500
0.500 0.500 0.000
0.500 0.500 0.500
```

Volume in Å³/atom: 12.74



# 3
A relaxed InCoRh2N crystal. Source: Alexandria via LeMat-Bulk, functional PBE.

POSCAR file:
```
InCoRh2N
1.0
4.217 0.000 0.000
0.000 4.217 0.000
0.000 0.000 3.732
In Co Rh N
1 1 2 1
direct
0.000 0.000 0.000
0.500 0.500 0.000
0.000 0.500 0.500
0.500 0.000 0.500
0.500 0.500 0.500
```

Volume in Å³/atom: 13.27



# 4
A relaxed InCo2RhN crystal. Source: Alexandria via LeMat-Bulk, functional PBE.

POSCAR file:
```
InCo2RhN
1.0
3.840 0.000 0.000
0.000 3.840 0.000
0.000 0.000 4.212
In Co Rh N
1 2 1 1
direct
0.000 0.000 0.000
0.000 0.500 0.500
0.500 0.000 0.500
0.500 0.500 0.000
0.500 0.500 0.500
```

Volume in Å³/atom: 12.42



# 5
A relaxed InCo2RuN crystal. Source: Alexandria via LeMat-Bulk, functional PBE.

POSCAR file:
```
InCo2RuN
1.0
3.895 0.000 0.000
0.000 3.895 0.000
0.000 0.000 4.044
In Co Ru N
1 2 1 1
direct
0.000 0.000 0.000
0.000 0.500 0.500
0.500 0.000 0.500
0.500 0.500 0.000
0.500 0.500 0.500
```

Volume in Å³/atom: 12.27



# 6
A relaxed InCoSe2N crystal. Source: Alexandria via LeMat-Bulk, functional PBE.

POSCAR file:
```
InCoSe2N
1.0
5.190 0.000 0.000
0.000 5.190 0.000
0.000 0.000 3.452
In Co Se N
1 1 2 1
direct
0.000 0.000 0.000
0.500 0.500 0.500
0.000 0.500 0.500
0.500 0.000 0.500
0.500 0.500 0.000
```

Distance to the lowest polymorph of the same formula in meV/atom: 0
Volume in Å³/atom: 18.60



| no. | raw formation energy (eV per atom) |
| --- | --- |
| 1 | 1.501 |
| 2 | 0.018 |
| 3 | -0.039 |
| 4 | -0.023 |
| 5 | 0.035 |
| 6 | 0.207 |